Record 1
This record from Alexandria via LeMat-Bulk describes crystalline KAuBr2 at its relaxed geometry. The functional is GGA-PBE.

Energy above the lowest structure with this stoichiometry   0.197 eV per atom
Energy relative to the elements, uncorrected   -0.73 eV/atom
SG   Immm

a b c (Å): 5.8687 5.8687 5.8687
angles (deg): 137.36 110.33 85.23
Fractional positions:
1 Au 0.7500 0.2500 0.5000
2 Br 0.9546 0.9546 0.0000
3 Br 0.5454 0.5454 0.0000
4 K 0.2500 0.7500 0.5000


Record 2
This record from Alexandria via LeMat-Bulk describes crystalline PrEr8Cd6 at its relaxed geometry. The functional is GGA-PBE.

Formation energy from the elements   -0.053 eV/atom
SG   R-3

a b c (Å): 8.9713 8.9713 8.1789
angles (deg): 56.74 56.74 60.00
Fractional positions:
1 Pr 0.0000 0.0000 0.0000
2 Er 0.5554 0.2149 0.3481
3 Er 0.7851 0.1184 0.6519
4 Er 0.1184 0.4446 0.6519
5 Er 0.6677 0.6677 0.9970
6 Er 0.3323 0.3323 0.0030
7 Er 0.8816 0.5554 0.3481
8 Er 0.2149 0.8816 0.3481
9 Er 0.4446 0.7851 0.6519
10 Cd 0.3948 0.0534 0.8401
11 Cd 0.9466 0.2883 0.1599
12 Cd 0.2883 0.6052 0.1599
13 Cd 0.7117 0.3948 0.8401
14 Cd 0.0534 0.7117 0.8401
15 Cd 0.6052 0.9466 0.1599


Record 3
This record from Alexandria via LeMat-Bulk describes crystalline Sr2SbOs at its relaxed geometry. The functional is GGA-PBE.

Energy relative to the elements, uncorrected   -0.09 eV/atom
SG   R3m

a b c (Å): 8.6017 8.6017 8.6017
angles (deg): 30.48 30.48 30.48
Fractional positions:
1 Os 0.4581 0.4581 0.4581
2 Sb 0.7918 0.7918 0.7918
3 Sr 0.0386 0.0386 0.0386
4 Sr 0.2114 0.2114 0.2114